1.
A relaxed structure of Pr4MgGa2. Source: the Alexandria database, functional PBE.

Cell: 7.8498 6.7231 8.4380 Å, 90.00 111.16 90.00°
With the nearest neighbours (Å) after each atom.
Sites, in units of the cell vectors:
Pr1 0.0120 0.2500 0.3845  2 Ga 2.92-3.05
Pr2 0.1862 0.7500 0.3210  2 Ga 2.98-3.21
Pr3 0.4035 0.0124 0.7552  4 Ga 3.08-3.28, 1 Pr 3.19
Pr4 0.4035 0.4876 0.7552  4 Ga 3.08-3.28, 1 Pr 3.19
Pr5 0.5965 0.5124 0.2448  4 Ga 3.08-3.28, 1 Pr 3.19
Pr6 0.5965 0.9876 0.2448  4 Ga 3.08-3.28, 1 Pr 3.19
Pr7 0.8138 0.2500 0.6790  2 Ga 2.98-3.21
Pr8 0.9880 0.7500 0.6155  2 Ga 2.92-3.05
Mg1 0.1844 0.2500 0.0554  2 Ga 2.94-3.21
Mg2 0.8156 0.7500 0.9446  2 Ga 2.94-3.21
Ga1 0.2388 0.7500 0.9884  6 Pr 2.98-3.28, 1 Mg 3.21
Ga2 0.3970 0.2500 0.4218  6 Pr 2.92-3.22, 1 Mg 2.94
Ga3 0.6030 0.7500 0.5782  6 Pr 2.92-3.22, 1 Mg 2.94
Ga4 0.7612 0.2500 0.0116  6 Pr 2.98-3.28, 1 Mg 3.21

Computed properties:
- energy of formation (eV/atom) = -0.204
- crystal system = monoclinic

2.
A relaxed structure of Ac4PmCd. Source: the Alexandria database, functional PBE.

Cell: 3.9695 3.9695 15.0280 Å, 90.00 90.00 90.00°
With the nearest neighbours (Å) after each atom.
Sites, in units of the cell vectors:
Ac1 0.0000 0.0000 0.1417  4 Cd 3.52
Ac2 0.0000 0.0000 0.8583  4 Cd 3.52
Ac3 0.5000 0.5000 0.3292  4 Pm 3.80, 8 Ac 3.97-3.98
Ac4 0.5000 0.5000 0.6708  4 Pm 3.80, 8 Ac 3.97-3.98
Pm1 0.0000 0.0000 0.5000  8 Ac 3.80, 4 Pm 3.97
Cd1 0.5000 0.5000 0.0000  8 Ac 3.52

Computed properties:
- energy of formation (eV/atom) = -0.081
- crystal system = tetragonal

3.
A relaxed structure of MgTiBiO5. Source: the Alexandria database, functional PBE.

Cell: 5.3704 10.8406 8.4492 Å, 90.00 110.35 90.00°
With the nearest neighbours (Å) after each atom.
Sites, in units of the cell vectors:
Mg1 0.0363 0.0912 0.1658  5 O 2.01-2.19
Mg2 0.0363 0.4088 0.6658  5 O 2.01-2.19
Mg3 0.9637 0.5912 0.3342  5 O 2.01-2.19
Mg4 0.9637 0.9088 0.8342  5 O 2.01-2.19
Ti1 0.3573 0.6206 0.0494  4 O 1.84-1.90
Ti2 0.3573 0.8794 0.5494  4 O 1.84-1.90
Ti3 0.6427 0.1206 0.4506  4 O 1.84-1.90
Ti4 0.6427 0.3794 0.9506  4 O 1.84-1.90
Bi1 0.4569 0.1043 0.8406  6 O 2.21-2.34
Bi2 0.4569 0.3957 0.3406  6 O 2.21-2.34
Bi3 0.5431 0.6043 0.6594  6 O 2.21-2.34
Bi4 0.5431 0.8957 0.1594  6 O 2.21-2.34
O1 0.1876 0.5470 0.1814  1 Ti 1.85
O2 0.1876 0.9530 0.6814  1 Ti 1.85
O3 0.1996 0.7281 0.4860  1 Ti 1.84
O4 0.1996 0.7719 0.9860  1 Ti 1.84
O5 0.2496 0.0344 0.0071  2 Mg 2.13-2.19, 2 Bi 2.21-2.23
O6 0.2496 0.4656 0.5071  2 Mg 2.13-2.19, 2 Bi 2.21-2.23
O7 0.3208 0.1982 0.3239  1 Ti 1.89, 1 Mg 2.01
O8 0.3208 0.3018 0.8239  1 Ti 1.89, 1 Mg 2.01
O9 0.3459 0.5418 0.8462  1 Ti 1.90
O10 0.3459 0.9582 0.3462  1 Ti 1.90
O11 0.6541 0.0418 0.6538  1 Ti 1.90
O12 0.6541 0.4582 0.1538  1 Ti 1.90
O13 0.6792 0.6982 0.1761  1 Ti 1.89, 1 Mg 2.01
O14 0.6792 0.8018 0.6761  1 Ti 1.89, 1 Mg 2.01
O15 0.7504 0.5344 0.4929  2 Mg 2.13-2.19, 2 Bi 2.21-2.23
O16 0.7504 0.9656 0.9929  2 Mg 2.13-2.19, 2 Bi 2.21-2.23
O17 0.8004 0.2281 0.0140  1 Ti 1.84
O18 0.8004 0.2719 0.5140  1 Ti 1.84
O19 0.8124 0.0470 0.3186  1 Ti 1.85
O20 0.8124 0.4530 0.8186  1 Ti 1.85

Computed properties:
- crystal system = monoclinic
- raw formation energy (meV per atom) = -2150